[1]
The following is a PBE calculation of a relaxed TmZr2Np3N6 crystal, from the Alexandria database.

Summary:
The energy comes out at -127.61 eV/cell. As for the symmetry: C2/m (12). As for the uncorrected formation energy: -17.3 eV per formula unit.

Unit cell a=5.8196 b=5.8196 c=5.8749 alpha=99.49 beta=99.49 gamma=120.02
Closest atoms and distances in Å follow each position.
Atoms (fractional coordinates):
N (0.9188, 0.5803, 0.7564)  2 Zr 2.35, 3 Np 2.39-2.42, 1 Tm 2.39
N (0.5803, 0.9188, 0.7564)  2 Zr 2.35, 3 Np 2.39-2.42, 1 Tm 2.39
N (0.0812, 0.4197, 0.2436)  2 Zr 2.35, 3 Np 2.39-2.42, 1 Tm 2.39
N (0.4197, 0.0812, 0.2436)  2 Zr 2.35, 3 Np 2.39-2.42, 1 Tm 2.39
N (0.7420, 0.7420, 0.2419)  2 Zr 2.35, 1 Tm 2.38, 3 Np 2.39-2.42
N (0.2580, 0.2580, 0.7581)  2 Zr 2.35, 1 Tm 2.38, 3 Np 2.39-2.42
Np (0.5000, 0.5000, 0.5000)  6 N 2.39-2.42
Np (0.8341, 0.1659, 0.5000)  6 N 2.39-2.42
Np (0.1659, 0.8341, 0.5000)  6 N 2.39-2.42
Zr (0.6669, 0.3331, 0.0000)  6 N 2.35
Zr (0.3331, 0.6669, 0.0000)  6 N 2.35
Tm (0.0000, 0.0000, 0.0000)  6 N 2.38-2.39

***

[2]
The following is a PBE calculation of a relaxed Np6UN12 crystal, from the Alexandria database.

Summary:
The energy comes out at -210.99 eV/cell. As for the symmetry: R-3 (148). As for the uncorrected formation energy: -22.2 eV per formula unit.

Unit cell a=6.4702 b=6.4702 c=6.4702 alpha=99.63 beta=99.63 gamma=99.63
Closest atoms and distances in Å follow each position.
Atoms (fractional coordinates):
Np (0.4014, 0.8632, 0.7029)  6 N 2.20-2.35
Np (0.7029, 0.4014, 0.8632)  6 N 2.20-2.35
Np (0.5986, 0.1368, 0.2971)  6 N 2.20-2.35
Np (0.8632, 0.7029, 0.4014)  6 N 2.20-2.35
Np (0.2971, 0.5986, 0.1368)  6 N 2.20-2.35
Np (0.1368, 0.2971, 0.5986)  6 N 2.20-2.35
N (0.0644, 0.3184, 0.9323)  1 U 2.16, 2 Np 2.22-2.27
N (0.8243, 0.4080, 0.5660)  4 Np 2.20-2.35
N (0.4340, 0.1757, 0.5920)  4 Np 2.20-2.35
N (0.0677, 0.9356, 0.6816)  1 U 2.16, 2 Np 2.22-2.27
N (0.6816, 0.0677, 0.9356)  1 U 2.16, 2 Np 2.22-2.27
N (0.3184, 0.9323, 0.0644)  1 U 2.16, 2 Np 2.22-2.27
N (0.9356, 0.6816, 0.0677)  1 U 2.16, 2 Np 2.22-2.27
N (0.1757, 0.5920, 0.4340)  4 Np 2.20-2.35
N (0.5660, 0.8243, 0.4080)  4 Np 2.20-2.35
N (0.4080, 0.5660, 0.8243)  4 Np 2.20-2.35
N (0.9323, 0.0644, 0.3184)  1 U 2.16, 2 Np 2.22-2.27
N (0.5920, 0.4340, 0.1757)  4 Np 2.20-2.35
U (0.0000, 0.0000, 0.0000)  6 N 2.16

***

[3]
The following is a PBE calculation of a relaxed NpUN crystal, from the Alexandria database.

Summary:
The energy comes out at -68.67 eV/cell. As for the symmetry: P2_1/m (11). As for the uncorrected formation energy: -1.8 eV per formula unit. For the energy above the most stable polymorph in this dataset, the calculation gives 0.284 eV/atom.

Unit cell a=3.6698 b=3.3032 c=7.8755 alpha=90.00 beta=92.63 gamma=90.00
Closest atoms and distances in Å follow each position.
Atoms (fractional coordinates):
N (0.2157, 0.7500, 0.1509)  5 U 2.36-2.52
N (0.7843, 0.2500, 0.8491)  5 U 2.36-2.52
Np (0.6385, 0.7500, 0.5906)  2 Np 2.38, 1 U 2.53, 2 N 2.66
Np (0.3615, 0.2500, 0.4094)  2 Np 2.38, 1 U 2.53, 2 N 2.66
U (0.7333, 0.2500, 0.1464)  5 N 2.36-2.52, 1 Np 2.53
U (0.2667, 0.7500, 0.8536)  5 N 2.36-2.52, 1 Np 2.53

***

[4]
The following is a PBE calculation of a relaxed NpU6N12 crystal, from the Alexandria database.

Summary:
The energy comes out at -206.93 eV/cell. As for the symmetry: R-3 (148). As for the uncorrected formation energy: -26.4 eV per formula unit.

Unit cell a=6.5062 b=6.5062 c=6.5062 alpha=99.62 beta=99.62 gamma=99.62
Closest atoms and distances in Å follow each position.
Atoms (fractional coordinates):
N (0.4075, 0.5656, 0.8244)  4 U 2.21-2.37
N (0.0715, 0.9369, 0.6801)  1 Np 2.19, 3 U 2.22-2.46
N (0.9285, 0.0631, 0.3199)  1 Np 2.19, 3 U 2.22-2.46
N (0.0631, 0.3199, 0.9285)  1 Np 2.19, 3 U 2.22-2.46
N (0.5656, 0.8244, 0.4075)  4 U 2.21-2.37
N (0.4344, 0.1756, 0.5925)  4 U 2.21-2.37
N (0.5925, 0.4344, 0.1756)  4 U 2.21-2.37
N (0.3199, 0.9285, 0.0631)  1 Np 2.19, 3 U 2.22-2.46
N (0.9369, 0.6801, 0.0715)  1 Np 2.19, 3 U 2.22-2.46
N (0.6801, 0.0715, 0.9369)  1 Np 2.19, 3 U 2.22-2.46
N (0.8244, 0.4075, 0.5656)  4 U 2.21-2.37
N (0.1756, 0.5925, 0.4344)  4 U 2.21-2.37
U (0.2938, 0.5971, 0.1362)  7 N 2.21-2.46
U (0.5971, 0.1362, 0.2938)  7 N 2.21-2.46
U (0.8638, 0.7062, 0.4029)  7 N 2.21-2.46
U (0.1362, 0.2938, 0.5971)  7 N 2.21-2.46
U (0.4029, 0.8638, 0.7062)  7 N 2.21-2.46
U (0.7062, 0.4029, 0.8638)  7 N 2.21-2.46
Np (0.0000, 0.0000, 0.0000)  6 N 2.19